The following is a PBE calculation of a geometry-optimized LaP4N8 structure, from Alexandria.

Structure (POSCAR):
```
LaP4N8
1.0
5.0043 0.0000 0.0000
-2.5022 4.3339 0.0000
0.0000 0.0000 8.1983
N P La
8 4 1
Direct
0.6184 0.0000 0.2546
0.6184 0.6184 0.7454
0.0000 0.3816 0.7454
0.0000 0.6184 0.2546
0.3816 0.3816 0.2546
0.6667 0.3333 0.0000
0.3333 0.6667 0.0000
0.3816 0.0000 0.7454
0.6667 0.3333 0.7993
0.3333 0.6667 0.7993
0.6667 0.3333 0.2007
0.3333 0.6667 0.2007
0.0000 0.0000 0.0000
```

Calculated values
The crystal system is trigonal. Its space group is P-31m, No. 162. The calculation puts the density of states at the Fermi level at 4.24 states/eV/cell. The calculation puts the formation energy (no corrections) at -458 meV per atom.